Cu3P4S4I3: PBEsol geometry, SCAN.

Lattice parameters (Å, degrees): 6.6241 19.0466 19.0466 120.00 90.00 90.00
Positions (direct):
P1 0.9295 0.6644 0.0929
P2 0.6796 0.0000 0.5993
S1 0.4362 0.7804 0.6763
Cu1 0.1843 0.8732 0.8732
P3 0.2806 0.7643 0.7643
Cu2 0.1843 0.1268 0.0000
Cu3 0.5176 0.5375 0.2050
P4 0.9295 0.4286 0.3356
I1 0.9118 0.2008 0.5351
S2 0.4362 0.6763 0.7804
P5 0.4295 0.3356 0.9071
Cu4 0.0176 0.6675 0.2050
P6 0.9295 0.9071 0.5714
I2 0.2939 0.0000 0.8693
S3 0.9362 0.2196 0.3237
Cu5 0.0176 0.2050 0.6675
S4 0.5297 0.0000 0.6943
S5 0.9362 0.8959 0.6763
I3 0.4118 0.2008 0.6657
I4 0.7939 0.1307 0.0000
P7 0.6796 0.4007 0.4007
S6 0.0297 0.6943 0.6943
S7 0.1363 0.0000 0.5880
P8 0.1796 0.5993 0.5993
P9 0.7806 0.0000 0.7643
P10 0.4295 0.0929 0.4286
Cu6 0.0176 0.7950 0.4625
I5 0.4118 0.6657 0.2008
P11 0.4295 0.6644 0.5714
P12 0.6796 0.5993 0.0000
P13 0.4295 0.4286 0.0929
I6 0.9118 0.3343 0.7992
S8 0.4362 0.2196 0.8959
S9 0.0297 0.3057 0.0000
P14 0.7806 0.7643 0.0000
S10 0.1363 0.5880 0.0000
S11 0.4362 0.3237 0.1041
Cu7 0.5176 0.4625 0.6675
Cu8 0.6843 0.8732 0.0000
S12 0.6363 0.4120 0.0000
I7 0.9118 0.5351 0.2008
S13 0.4362 0.1041 0.3237
S14 0.6363 0.0000 0.4120
P15 0.2806 0.0000 0.2357
P16 0.9295 0.0929 0.6644
S15 0.9362 0.6763 0.8959
S16 0.0297 0.0000 0.3057
P17 0.2806 0.2357 0.0000
Cu9 0.5176 0.3325 0.7950
P18 0.4295 0.9071 0.3356
Cu10 0.5176 0.7950 0.3325
I8 0.2939 0.8693 0.0000
S17 0.5297 0.6943 0.0000
I9 0.4118 0.3343 0.5351
Cu11 0.0176 0.4625 0.7950
I10 0.9118 0.6657 0.4649
I11 0.4118 0.5351 0.3343
I12 0.7939 0.8693 0.8693
S18 0.6363 0.5880 0.5880
S19 0.9362 0.7804 0.1041
S20 0.1363 0.4120 0.4120
I13 0.9118 0.7992 0.3343
Cu12 0.5176 0.6675 0.4625
P19 0.4295 0.5714 0.6644
S21 0.4362 0.8959 0.2196
S22 0.9362 0.3237 0.2196
P20 0.7806 0.2357 0.2357
I14 0.7939 0.0000 0.1307
P21 0.9295 0.5714 0.9071
Cu13 0.0176 0.3325 0.5375
P22 0.9295 0.3356 0.4286
Cu14 0.5176 0.2050 0.5375
I15 0.4118 0.7992 0.4649
Cu15 0.1843 0.0000 0.1268
I16 0.2939 0.1307 0.1307
I17 0.9118 0.4649 0.6657
P23 0.1796 0.0000 0.4007
Cu16 0.6843 0.1268 0.1268
Cu17 0.6843 0.0000 0.8732
S23 0.5297 0.3057 0.3057
I18 0.4118 0.4649 0.7992
S24 0.9362 0.1041 0.7804
P24 0.1796 0.4007 0.0000
Cu18 0.0176 0.5375 0.3325

---

ZnAsRh2: PBEsol geometry, SCAN.

Lattice parameters (Å, degrees): 2.9805 3.7929 5.6838 109.49 105.20 90.00
Positions (direct):
Rh1 0.9619 0.9619 0.9239
Zn1 0.5377 0.5377 0.0754
As1 0.2809 0.7809 0.5619
Rh2 0.7194 0.2194 0.4389

## Properties
Energy of formation from the pure elements, eV/f.u.: -1.474
Energy above the lowest structure with this stoichiometry, meV/atom: 0

---

Ga2P3H3O9: PBEsol geometry, SCAN.

Lattice parameters (Å, degrees): 7.2703 7.9293 7.9293 120.00 90.00 90.00
Positions (direct):
O1 0.9268 0.7353 0.1655
O2 0.9268 0.4302 0.2646
O3 0.0732 0.5698 0.7353
O4 0.7500 0.3908 0.5195
O5 0.0732 0.2646 0.8345
P1 0.7500 0.9520 0.6447
O6 0.5732 0.8345 0.5698
O7 0.2500 0.6092 0.4805
P2 0.2500 0.0480 0.3553
O8 0.0732 0.1655 0.4302
P3 0.2500 0.6447 0.6927
Ga1 0.4501 0.6667 0.3333
O9 0.7500 0.1287 0.6092
Ga2 0.0499 0.6667 0.3333
P4 0.7500 0.6927 0.0480
P5 0.7500 0.3553 0.3073
O10 0.7500 0.4805 0.8713
H1 0.2500 0.1800 0.0276
Ga3 0.9501 0.3333 0.6667
O11 0.4268 0.5698 0.7353
O12 0.9268 0.8345 0.5698
O13 0.4268 0.1655 0.4302
H2 0.7500 0.8200 0.9724
O14 0.4268 0.2646 0.8345
H3 0.7500 0.0276 0.8475
O15 0.5732 0.7353 0.1655
H4 0.2500 0.8475 0.8200
H5 0.7500 0.1525 0.1800
P6 0.2500 0.3073 0.9520
O16 0.2500 0.8713 0.3908
O17 0.2500 0.5195 0.1287
H6 0.2500 0.9724 0.1525
Ga4 0.5499 0.3333 0.6667
O18 0.5732 0.4302 0.2646

---

GaAgSn3: PBEsol geometry, SCAN.

Lattice parameters (Å, degrees): 5.2683 5.2683 5.2683 90.00 90.00 90.00
Positions (direct):
Sn1 0.0000 0.0000 0.5000
Sn2 0.0000 0.5000 0.0000
Ga1 0.5000 0.5000 0.5000
Sn3 0.5000 0.0000 0.0000
Ag1 0.0000 0.0000 0.0000

## Properties
Energy of formation from the pure elements, eV/f.u.: 3.042

---

ScCrRu2: PBEsol geometry, SCAN.

Lattice parameters (Å, degrees): 3.0235 3.0235 6.2141 90.00 90.00 90.00
Last column: magnetic moment on the atom in μB.
Positions (direct):
Ru1 0.0000 0.0000 0.2740  -0.22
Ru2 0.0000 0.0000 0.7260  -0.22
Sc1 0.5000 0.5000 0.0000  -0.02
Cr1 0.5000 0.5000 0.5000  1.91

## Properties
Energy of formation from the pure elements, eV/f.u.: -1.195

---

Mg3W: PBEsol geometry, SCAN.

Lattice parameters (Å, degrees): 2.8001 4.8834 5.3934 90.00 90.00 90.00
Positions (direct):
W1 0.0000 0.0000 0.0153
Mg1 0.0000 0.5000 0.2977
Mg2 0.5000 0.0000 0.5168
Mg3 0.5000 0.5000 0.8369

## Properties
Energy of formation from the pure elements, eV/f.u.: 1.938
Energy above the lowest structure with this stoichiometry, meV/atom: 46

---

NaY2Mn2: PBEsol geometry, SCAN.

Lattice parameters (Å, degrees): 3.2273 3.2273 11.1633 98.31 98.31 90.00
Positions (direct):
Mn1 0.7500 0.2500 0.5000
Mn2 0.2500 0.7500 0.5000
Y1 0.6409 0.6409 0.2817
Y2 0.3591 0.3591 0.7183
Na1 0.0000 0.0000 0.0000

## Properties
Energy of formation from the pure elements, eV/f.u.: 2.385

---

Cd2PW: PBEsol geometry, SCAN.

Lattice parameters (Å, degrees): 3.7101 3.7101 5.5494 109.53 109.53 90.00
Positions (direct):
W1 0.0000 0.0000 0.0000
Cd1 0.7500 0.2500 0.5000
P1 0.5000 0.5000 0.0000
Cd2 0.2500 0.7500 0.5000

## Properties
Energy of formation from the pure elements, eV/f.u.: 2.677
Energy above the lowest structure with this stoichiometry, meV/atom: 359

---

As2WBr: PBEsol geometry, SCAN.

Lattice parameters (Å, degrees): 3.1410 3.1410 9.0974 80.06 80.06 60.00
Positions (direct):
As1 0.7353 0.7353 0.7941
W1 0.2567 0.2567 0.2300
As2 0.9902 0.9902 0.0294
Br1 0.5178 0.5178 0.4466

## Properties
Energy above the lowest structure with this stoichiometry, meV/atom: 60

---

CaGa3Pt: PBEsol geometry, SCAN.

Lattice parameters (Å, degrees): 4.1647 4.1647 6.2077 109.60 109.60 90.00
Positions (direct):
Ga1 0.7461 0.2461 0.4922
Ga2 0.2461 0.7461 0.4922
Pt1 0.6167 0.6167 0.2334
Ga3 0.3926 0.3926 0.7851
Ca1 0.9985 0.9985 0.9970

## Properties
Energy of formation from the pure elements, eV/f.u.: -3.970
Energy above the lowest structure with this stoichiometry, meV/atom: 0

---

Tl2CrMo: PBEsol geometry, SCAN.

Lattice parameters (Å, degrees): 4.7756 4.7756 4.7756 60.00 60.00 60.00
Last column: magnetic moment on the atom in μB.
Positions (direct):
Cr1 0.5000 0.5000 0.5000  3.69
Mo1 0.2500 0.2500 0.2500  -2.63
Tl1 0.0000 0.0000 0.0000  0.00
Tl2 0.7500 0.7500 0.7500  0.02

## Properties
Energy of formation from the pure elements, eV/f.u.: 3.263
Energy above the lowest structure with this stoichiometry, meV/atom: 177

---

KIN2: PBEsol geometry, SCAN.

Lattice parameters (Å, degrees): 3.4359 3.4359 7.6223 76.97 76.97 60.00
Positions (direct):
N1 0.8859 0.8859 0.3423
I1 0.5000 0.5000 0.5000
N2 0.1141 0.1141 0.6577
K1 0.0000 0.0000 0.0000

---

SrTi2P2: PBEsol geometry, SCAN.

Lattice parameters (Å, degrees): 4.6808 4.6808 5.6426 114.51 114.51 90.00
Last column: magnetic moment on the atom in μB.
Positions (direct):
Ti1 0.6612 0.6612 0.3223  0.59
Ti2 0.3388 0.3388 0.6777  0.59
P1 0.7500 0.2500 0.5000  -0.05
Sr1 0.0000 0.0000 0.0000  0.07
P2 0.2500 0.7500 0.5000  -0.05

## Properties
Energy of formation from the pure elements, eV/f.u.: -3.591

---

LaTiIr2: PBEsol geometry, SCAN.

Lattice parameters (Å, degrees): 4.6950 4.6950 4.6950 60.00 60.00 60.00
Positions (direct):
La1 0.5000 0.5000 0.5000
Ti1 0.0000 0.0000 0.0000
Ir1 0.2500 0.2500 0.2500
Ir2 0.7500 0.7500 0.7500

## Properties
Energy of formation from the pure elements, eV/f.u.: -1.620

---

Pr4Si2S3O7: PBEsol geometry, SCAN.

Lattice parameters (Å, degrees): 11.0310 11.0310 11.0310 100.17 114.31 114.31
Positions (direct):
S1 0.6013 0.8750 0.9763
O1 0.7605 0.2225 0.7015
Pr1 0.2633 0.7180 0.9813
O2 0.7395 0.2120 0.1910
Pr2 0.8437 0.4219 0.9219
Pr3 0.0000 0.6719 0.3281
Pr4 0.7633 0.0320 0.7953
S2 0.6013 0.7263 0.6250
O3 0.7275 0.1781 0.4506
O4 0.0210 0.8090 0.5485
Si1 0.1242 0.8465 0.7223
O5 0.4790 0.5380 0.7775
Si2 0.6242 0.1519 0.5277
S3 0.5000 0.7500 0.2500
O6 0.0210 0.2120 0.4725
Pr5 0.1563 0.0781 0.5781
O7 0.5210 0.2225 0.4620
Pr6 0.7633 0.7313 0.9680
Pr7 0.6563 0.3281 0.3281
O8 0.2605 0.8090 0.7880
O9 0.7725 0.2006 0.9730
S4 0.1013 0.7263 0.1250
Pr8 0.2633 0.5453 0.2820
Pr9 0.7367 0.7180 0.4547
O10 0.2725 0.7230 0.4506
S5 0.0000 0.0000 0.0000
O11 0.5000 0.9781 0.4781
O12 0.0000 0.2281 0.2281
Si3 0.1242 0.2777 0.4019
Pr10 0.3437 0.6719 0.6719
S6 0.1013 0.3750 0.9763
O13 0.9790 0.4515 0.1910
S7 0.0000 0.5000 0.5000
O14 0.7725 0.5719 0.7994
O15 0.7605 0.5380 0.0590
O16 0.7275 0.5494 0.2770
Si4 0.3758 0.9035 0.5277
Si5 0.3758 0.4723 0.8481
O17 0.2395 0.9410 0.4620
Pr11 0.0000 0.3281 0.6719
O18 0.5000 0.5219 0.0219
Pr12 0.2367 0.2047 0.9680
O19 0.0000 0.7719 0.7719
O20 0.7395 0.5275 0.5485
Pr13 0.5000 0.0781 0.9219
S8 0.8987 0.0237 0.6250
O21 0.9790 0.5275 0.7880
O22 0.2395 0.2985 0.7775
Si6 0.6242 0.4723 0.0965
S9 0.3987 0.3750 0.2737
O23 0.2275 0.0270 0.7994
O24 0.2725 0.5494 0.8219
Si7 0.8758 0.2777 0.1535
Pr14 0.7367 0.0187 0.2820
S10 0.5000 0.2500 0.7500
O25 0.4790 0.9410 0.7015
S11 0.3987 0.0237 0.1250
S12 0.8987 0.8750 0.2737
Pr15 0.5000 0.4219 0.5781
Pr16 0.2367 0.0320 0.2687
O26 0.2275 0.2006 0.4281
Si8 0.8758 0.5981 0.7223
O27 0.5210 0.2985 0.0590
O28 0.2605 0.4515 0.4725

---

V3FeSb2P6O24: PBEsol geometry, SCAN.

Lattice parameters (Å, degrees): 8.5887 8.5887 8.7442 60.59 60.59 60.00
Last column: magnetic moment on the atom in μB.
Positions (direct):
O1 0.9445 0.0833 0.2415  0.03
O2 0.3083 0.5002 0.0717  -0.01
O3 0.1198 0.3083 0.0717  -0.01
P1 0.5362 0.9624 0.2488  0.01
Fe1 0.8470 0.8470 0.4590  4.03
O4 0.0232 0.7937 0.5663  0.09
V1 0.6467 0.6467 0.0599  1.83
O5 0.4946 0.8811 0.9238  -0.01
O6 0.7308 0.9445 0.2415  0.03
P2 0.7509 0.4586 0.7478  0.02
O7 0.7005 0.4946 0.9238  -0.01
V2 0.3537 0.3537 0.9388  1.69
Sb1 0.4984 0.4984 0.5047  0.03
P3 0.0427 0.7509 0.7478  0.02
O8 0.7675 0.4189 0.2516  -0.01
O9 0.0642 0.9182 0.7508  -0.01
Sb2 0.9905 0.9905 0.0285  0.01
P4 0.2526 0.5362 0.2488  0.01
O10 0.9182 0.2669 0.7508  -0.01
O11 0.2669 0.0642 0.7508  -0.01
O12 0.6168 0.0232 0.5663  0.09
O13 0.5806 0.4315 0.7512  0.00
P5 0.9624 0.2526 0.2488  0.01
O14 0.4189 0.5620 0.2516  -0.01
V3 0.1442 0.1442 0.5673  1.75
O15 0.5002 0.1198 0.0717  -0.01
O16 0.5620 0.7675 0.2516  -0.01
O17 0.8811 0.7005 0.9238  -0.01
O18 0.2367 0.5806 0.7512  0.00
O19 0.4315 0.2367 0.7512  0.00
O20 0.1988 0.3792 0.4272  -0.01
P6 0.4586 0.0427 0.7478  0.02
O21 0.9948 0.1988 0.4272  -0.01
O22 0.0833 0.7308 0.2415  0.03
O23 0.7937 0.6168 0.5663  0.09
O24 0.3792 0.9948 0.4272  -0.01

---

SrMg2: PBEsol geometry, SCAN.

Lattice parameters (Å, degrees): 5.3165 6.5753 6.5753 78.28 66.15 66.15
Positions (direct):
Mg1 0.8359 0.1009 0.2273
Mg2 0.8359 0.7273 0.6009
Mg3 0.1641 0.2727 0.3991
Sr1 0.5540 0.6960 0.1960
Sr2 0.4460 0.3040 0.8040
Mg4 0.1641 0.8991 0.7727

## Properties
Energy of formation from the pure elements, eV/f.u.: -0.135

---

no.,magnetization (Bohr magnetons per cell),raw total energy (eV per atom)
1,0.00,-17.093
2,0.00,-25.681
3,0.00,-9.544
4,0.00,-30.487
5,1.47,-25.867
6,0.00,-20.668
7,0.00,-18.805
8,0.00,-34.560
9,0.00,-31.980
10,0.00,-26.573
11,1.27,-48.681
12,0.00,-14.509
13,1.79,-15.745
14,0.00,-50.738
15,0.15,-19.789
16,10.24,-12.207
17,0.09,-10.786